1.
The following is a GGA-PBE calculation of a relaxed structure of KBr2N, from Alexandria.

a b c (Å): 4.6606 4.6606 24.8823
angles (deg): 90.00 90.00 120.00
Space group R-3m (No. 166, hexagonal axes)
Asymmetric unit:
1 K 0.0000 0.0000 0.0000 [3 per cell]
2 Br 0.0000 0.0000 0.1200 [6 per cell]
3 N 0.0000 0.0000 0.5000 [3 per cell]

Summary:
- ΔE_f (raw): 3.67 eV per formula unit
- Mass density: 2.266 g cm⁻³
- VASP energy: -2.2753 eV per atom
- Offset from the most stable computed form: 751.7 meV/atom

---

2.
The following is a GGA-PBE calculation of a relaxed structure of KBrN2, from Alexandria.

a b c (Å): 6.1395 6.1395 8.2969
angles (deg): 90.00 90.00 90.00
Space group I-42d (No. 122)
Asymmetric unit:
1 K 0.0000 0.0000 0.0000 [4 per cell]
2 Br 0.0000 0.0000 0.5000 [4 per cell]
3 N 0.1312 0.2500 0.6250 [8 per cell]

Summary:
- ΔE_f (raw): 6.10 eV per formula unit
- Mass density: 3.122 g cm⁻³
- VASP energy: -3.3295 eV per atom
- Offset from the most stable computed form: 2337.2 meV/atom

---

3.
The following is a GGA-PBE calculation of a relaxed structure of KBr2N2, from Alexandria.

a b c (Å): 7.1768 6.3329 7.5175
angles (deg): 90.00 96.98 90.00
Space group C2/m (No. 12)
Asymmetric unit:
1 K 0.0000 0.0000 0.0000 [2 per cell]
2 Br 0.0507 0.5000 0.8209 [4 per cell]
3 N 0.0024 0.0000 0.5743 [4 per cell]

Summary:
- ΔE_f (raw): -2.95 eV per formula unit
- Mass density: 2.222 g cm⁻³
- VASP energy: -4.8081 eV per atom